1.
A plane-wave DFT calculation with PBE was carried out for HfZr5Pt after structural relaxation.

Cell lengths 4.5766, 4.5766, 7.6787 Å; angles 90.09, 90.09, 90.03 degrees
Last column: nearest neighbours and their distance in Å.
Positions (direct):
Hf 0.0000 0.0000 0.0000  12 Zr 3.15-3.24
Zr 0.9996 0.4992 0.7186  2 Pt 2.83-2.84, 2 Zr 3.15, 2 Hf 3.15
Zr 0.0004 0.5008 0.2814  2 Pt 2.83-2.84, 2 Zr 3.15, 2 Hf 3.15
Zr 0.4992 0.9996 0.7186  2 Pt 2.83-2.84, 2 Zr 3.15, 2 Hf 3.15
Zr 0.5000 0.5000 0.0000  8 Zr 3.15, 4 Hf 3.24
Zr 0.5008 0.0004 0.2814  2 Pt 2.83-2.84, 2 Zr 3.15, 2 Hf 3.15
Pt 0.5000 0.5000 0.5000  8 Zr 2.83-2.84

E_form   -231 meV per atom

***

2.
A plane-wave DFT calculation with PBE was carried out for MnNi4Sn after structural relaxation.

Cell lengths 4.4943, 4.4943, 5.4183 Å; angles 106.70, 106.70, 47.13 degrees
Last column: nearest neighbours and their distance in Å.
Positions (direct):
Mn 0.0000 0.0000 0.0000  10 Ni 2.56-2.57, 2 Sn 2.71
Ni 0.3286 0.3286 0.1505  6 Ni 2.50-2.63, 3 Mn 2.57, 2 Sn 2.67
Ni 0.3347 0.3347 0.6836  6 Ni 2.55-2.72, 2 Mn 2.56, 3 Sn 2.62-2.63
Ni 0.6653 0.6653 0.3164  6 Ni 2.55-2.72, 2 Mn 2.56, 3 Sn 2.62-2.63
Ni 0.6714 0.6714 0.8495  6 Ni 2.50-2.63, 3 Mn 2.57, 2 Sn 2.67
Sn 0.0000 0.0000 0.5000  10 Ni 2.62-2.67, 2 Mn 2.71

E_form   -103 meV per atom

***

> E_form of number 1 (HfZr5Pt)?

-231 meV per atom